! Cu2RhBr2 GGA-PBE optimized geometry; values from VASP
&SYSTEM
  ibrav = 0, nat = 5, ntyp = 3
/
ATOMIC_SPECIES
Cu 63.55 Cu.upf
Br 79.90 Br.upf
Rh 102.91 Rh.upf
CELL_PARAMETERS angstrom
-1.7295 1.7295 7.6352
1.7295 -1.7295 7.6352
1.7295 1.7295 -7.6352
ATOMIC_POSITIONS angstrom
Cu 1.7295 0.0000 3.8176
Br 0.0000 0.0000 9.3203
Rh 0.0000 0.0000 0.0000
Cu 0.0000 1.7295 3.8176
Br 0.0000 0.0000 5.9501
! space group = I4/mmm (139)
! total moment = 1.20 μB/f.u.
! ΔE_f (raw) = 0.5500 eV/atom